[1]
The following is a DFT calculation (PBE) of a relaxed Nd6DyY8 crystal.

- Magnetic moment: 0.00 μB/f.u.
- Energy of formation from the pure elements: 0.12 eV per atom
- Crystal system: trigonal

Lattice parameters (Å, degrees): 9.157 9.157 8.783 58.58 58.58 60.00
Atoms (fractional coordinates):
Y: 0.423 0.423 0.732
Y: 0.284 0.888 0.579
Y: 0.716 0.112 0.421
Y: 0.112 0.751 0.421
Y: 0.888 0.249 0.579
Y: 0.249 0.284 0.579
Y: 0.577 0.577 0.268
Y: 0.751 0.716 0.421
Nd: 0.229 0.539 0.130
Nd: 0.539 0.103 0.130
Nd: 0.897 0.771 0.870
Nd: 0.461 0.897 0.870
Nd: 0.103 0.229 0.130
Nd: 0.771 0.461 0.870
Dy: 0.000 0.000 0.000



[2]
The following is a DFT calculation (PBE) of a relaxed Nd4Dy5Y3 crystal.

- Magnetic moment: 0.56 μB/f.u.
- Energy of formation from the pure elements: 0.23 eV per atom
- Crystal system: monoclinic

Lattice parameters (Å, degrees): 5.944 8.628 9.731 105.39 72.22 69.85
Last column: magnetic moment on the atom in μB.
Atoms (fractional coordinates):
Dy: 0.630 0.940 0.799  0.01
Dy: 0.500 0.500 0.500  0.20
Dy: 0.214 0.457 0.115  0.01
Dy: 0.786 0.543 0.885  0.01
Dy: 0.370 0.060 0.201  0.01
Nd: 0.137 0.778 0.947  0.00
Nd: 0.835 0.949 0.381  0.00
Nd: 0.165 0.051 0.619  0.00
Nd: 0.863 0.222 0.053  0.00
Y: 0.000 0.500 0.500  0.16
Y: 0.523 0.688 0.265  0.01
Y: 0.477 0.312 0.735  0.01



[3]
The following is a DFT calculation (PBE) of a relaxed NdDy2Y4 crystal.

- Offset from the most stable computed form: 0 meV per atom
- Magnetic moment: 0.00 μB/f.u.
- Energy of formation from the pure elements: 0.03 eV per atom
- Crystal system: monoclinic

Lattice parameters (Å, degrees): 3.558 9.482 8.559 121.56 78.01 112.00
Atoms (fractional coordinates):
Y: 0.411 0.706 0.589
Y: 0.589 0.294 0.411
Y: 0.809 0.167 0.717
Y: 0.191 0.833 0.283
Nd: 0.000 0.000 0.000
Dy: 0.360 0.430 0.140
Dy: 0.640 0.570 0.860



[4]
The following is a DFT calculation (PBE) of a relaxed Nd5Dy2Y4 crystal.

- Offset from the most stable computed form: 196 meV per atom
- Magnetic moment: 0.00 μB/f.u.
- Energy of formation from the pure elements: 0.21 eV per atom
- Crystal system: orthorhombic

Lattice parameters (Å, degrees): 3.550 9.198 12.824 111.02 97.96 90.00
Atoms (fractional coordinates):
Nd: 0.500 0.000 0.000
Nd: 0.853 0.053 0.706
Nd: 0.147 0.348 0.294
Nd: 0.853 0.652 0.706
Nd: 0.147 0.947 0.294
Y: 0.598 0.598 0.195
Y: 0.402 0.402 0.805
Y: 0.000 0.688 0.000
Y: 0.000 0.312 0.000
Dy: 0.269 0.269 0.538
Dy: 0.731 0.731 0.462



[5]
The following is a DFT calculation (PBE) of a relaxed Nd5Dy6Y crystal.

- Offset from the most stable computed form: 0 meV per atom
- Magnetic moment: 0.00 μB/f.u.
- Energy of formation from the pure elements: 0.01 eV per atom
- Crystal system: monoclinic

Lattice parameters (Å, degrees): 11.891 6.252 6.251 59.99 84.99 79.94
Atoms (fractional coordinates):
Y: 0.000 0.000 0.000
Dy: 0.249 0.250 0.000
Dy: 0.751 0.083 0.333
Dy: 0.249 0.917 0.667
Dy: 0.751 0.417 0.667
Dy: 0.249 0.583 0.333
Dy: 0.751 0.750 0.000
Nd: 0.500 0.833 0.334
Nd: 0.500 0.167 0.666
Nd: 0.500 0.500 0.000
Nd: 0.000 0.333 0.333
Nd: 0.000 0.667 0.667



[6]
The following is a DFT calculation (PBE) of a relaxed Nd12Dy3Y crystal.

- Magnetic moment: 0.00 μB/f.u.
- Energy of formation from the pure elements: 0.01 eV per atom
- Crystal system: tetragonal

Lattice parameters (Å, degrees): 5.164 5.164 20.593 90.00 90.00 90.00
Atoms (fractional coordinates):
Nd: 0.000 0.500 0.625
Nd: 0.500 0.000 0.625
Nd: 0.500 0.500 0.750
Nd: 0.500 0.500 0.000
Nd: 0.000 0.500 0.875
Nd: 0.500 0.000 0.125
Nd: 0.500 0.000 0.375
Nd: 0.500 0.500 0.500
Nd: 0.500 0.500 0.250
Nd: 0.000 0.500 0.375
Nd: 0.500 0.000 0.875
Nd: 0.000 0.500 0.125
Dy: 0.000 0.000 0.500
Dy: 0.000 0.000 0.250
Dy: 0.000 0.000 0.750
Y: 0.000 0.000 0.000



[7]
The following is a DFT calculation (PBE) of a relaxed Nd2Dy6Y crystal.

- Magnetic moment: 0.00 μB/f.u.
- Energy of formation from the pure elements: 0.11 eV per atom
- Crystal system: monoclinic

Lattice parameters (Å, degrees): 6.207 11.811 11.811 96.49 60.73 60.73
Atoms (fractional coordinates):
Dy: 0.182 0.834 0.986
Dy: 0.472 0.405 0.905
Dy: 0.528 0.595 0.095
Dy: 0.681 0.335 0.486
Dy: 0.028 0.095 0.595
Dy: 0.319 0.665 0.514
Dy: 0.318 0.014 0.166
Dy: 0.818 0.166 0.014
Dy: 0.972 0.905 0.405
Dy: 0.819 0.514 0.665
Dy: 0.181 0.486 0.335
Dy: 0.682 0.986 0.834
Y: 0.250 0.250 0.750
Y: 0.750 0.750 0.250
Nd: 0.500 0.148 0.352
Nd: 0.000 0.648 0.852
Nd: 0.500 0.852 0.648
Nd: 0.000 0.352 0.148



[8]
The following is a DFT calculation (PBE) of a relaxed Nd7Dy3Y2 crystal.

- Offset from the most stable computed form: 44 meV per atom
- Magnetic moment: 0.00 μB/f.u.
- Energy of formation from the pure elements: 0.11 eV per atom
- Crystal system: orthorhombic

Lattice parameters (Å, degrees): 3.641 5.833 19.476 98.61 90.00 90.00
Atoms (fractional coordinates):
Nd: 0.500 0.072 0.145
Nd: 0.000 0.768 0.535
Nd: 0.000 0.232 0.465
Nd: 0.000 0.593 0.186
Nd: 0.000 0.000 0.000
Nd: 0.000 0.407 0.814
Nd: 0.500 0.928 0.855
Y: 0.000 0.149 0.298
Y: 0.000 0.851 0.702
Dy: 0.500 0.500 0.000
Dy: 0.500 0.685 0.370
Dy: 0.500 0.315 0.630



[9]
The following is a DFT calculation (PBE) of a relaxed Nd3Dy3Y2 crystal.

- Magnetic moment: 0.00 μB/f.u.
- Energy of formation from the pure elements: 0.02 eV per atom
- Crystal system: orthorhombic

Lattice parameters (Å, degrees): 5.086 5.098 10.815 103.63 103.60 90.00
Atoms (fractional coordinates):
Nd: 0.000 0.500 0.000
Nd: 0.875 0.875 0.751
Nd: 0.125 0.125 0.249
Dy: 0.626 0.626 0.251
Dy: 0.374 0.374 0.749
Dy: 0.500 0.000 0.000
Y: 0.249 0.749 0.499
Y: 0.751 0.251 0.501



[10]
The following is a DFT calculation (PBE) of a relaxed NdDy2Y4 crystal.

- Offset from the most stable computed form: 96 meV per atom
- Magnetic moment: 0.00 μB/f.u.
- Energy of formation from the pure elements: 0.12 eV per atom
- Crystal system: monoclinic

Lattice parameters (Å, degrees): 6.069 6.646 11.763 90.00 106.04 90.00
Atoms (fractional coordinates):
Dy: 0.611 0.750 0.011
Dy: 0.285 0.250 0.449
Dy: 0.389 0.250 0.989
Dy: 0.715 0.750 0.551
Y: 0.977 0.750 0.836
Y: 0.632 0.008 0.290
Y: 0.368 0.992 0.710
Y: 0.146 0.750 0.419
Y: 0.023 0.250 0.164
Y: 0.368 0.508 0.710
Y: 0.854 0.250 0.581
Y: 0.632 0.492 0.290
Nd: 0.824 0.250 0.866
Nd: 0.176 0.750 0.134



[11]
The following is a DFT calculation (PBE) of a relaxed Nd4DyY crystal.

- Offset from the most stable computed form: 230 meV per atom
- Magnetic moment: 0.00 μB/f.u.
- Energy of formation from the pure elements: 0.62 eV per atom
- Crystal system: orthorhombic

Lattice parameters (Å, degrees): 3.495 8.325 8.325 90.14 90.00 90.00
Atoms (fractional coordinates):
Nd: 0.000 0.239 0.239
Nd: 0.500 0.740 0.260
Nd: 0.500 0.260 0.740
Nd: 0.000 0.761 0.761
Y: 0.000 0.500 0.500
Dy: 0.500 0.000 0.000



[12]
The following is a DFT calculation (PBE) of a relaxed Nd6Dy3Y crystal.

- Magnetic moment: 0.00 μB/f.u.
- Energy of formation from the pure elements: 0.14 eV per atom
- Crystal system: orthorhombic

Lattice parameters (Å, degrees): 6.452 11.141 11.141 121.52 90.00 90.00
Atoms (fractional coordinates):
Nd: 0.852 0.488 0.063
Nd: 0.051 0.717 0.629
Nd: 0.352 0.512 0.937
Nd: 0.051 0.371 0.283
Nd: 0.376 0.970 0.030
Nd: 0.852 0.937 0.512
Nd: 0.876 0.030 0.970
Nd: 0.352 0.063 0.488
Nd: 0.551 0.283 0.371
Nd: 0.161 0.718 0.282
Nd: 0.551 0.629 0.717
Nd: 0.661 0.282 0.718
Dy: 0.978 0.053 0.284
Dy: 0.087 0.387 0.613
Dy: 0.587 0.613 0.387
Dy: 0.478 0.284 0.053
Dy: 0.478 0.947 0.716
Dy: 0.978 0.716 0.947
Y: 0.598 0.812 0.188
Y: 0.098 0.188 0.812



[13]
The following is a DFT calculation (PBE) of a relaxed NdDyY2 crystal.

- Offset from the most stable computed form: 4 meV per atom
- Magnetic moment: 0.00 μB/f.u.
- Energy of formation from the pure elements: 0.02 eV per atom
- Crystal system: triclinic

Lattice parameters (Å, degrees): 6.221 6.216 9.508 49.05 71.04 80.58
Atoms (fractional coordinates):
Y: 0.201 0.795 0.545
Y: 0.701 0.421 0.671
Y: 0.201 0.296 0.046
Y: 0.701 0.921 0.170
Nd: 0.201 0.044 0.796
Nd: 0.701 0.173 0.420
Dy: 0.202 0.546 0.295
Dy: 0.700 0.670 0.921



[14]
The following is a DFT calculation (PBE) of a relaxed Nd7DyY4 crystal.

- Offset from the most stable computed form: 0 meV per atom
- Magnetic moment: 0.00 μB/f.u.
- Energy of formation from the pure elements: 0.14 eV per atom
- Crystal system: monoclinic

Lattice parameters (Å, degrees): 6.098 7.250 11.847 72.20 58.02 90.02
Atoms (fractional coordinates):
Y: 0.514 0.868 0.726
Y: 0.486 0.132 0.274
Y: 0.514 0.407 0.727
Y: 0.486 0.593 0.273
Nd: 0.500 0.000 0.000
Nd: 0.128 0.188 0.625
Nd: 0.872 0.812 0.375
Nd: 0.823 0.535 0.930
Nd: 0.844 0.291 0.419
Nd: 0.156 0.709 0.581
Nd: 0.177 0.465 0.070
Dy: 0.000 0.000 0.000



[15]
The following is a DFT calculation (PBE) of a relaxed Nd2Dy3Y8 crystal.

- Offset from the most stable computed form: 0 meV per atom
- Magnetic moment: 0.00 μB/f.u.
- Energy of formation from the pure elements: 0.15 eV per atom
- Crystal system: orthorhombic

Lattice parameters (Å, degrees): 3.526 11.784 20.770 90.00 90.00 90.00
Atoms (fractional coordinates):
Y: 0.500 0.454 0.928
Y: 0.000 0.792 0.447
Y: 0.000 0.945 0.841
Y: 0.500 0.129 0.714
Y: 0.500 0.629 0.786
Y: 0.000 0.708 0.947
Y: 0.000 0.055 0.159
Y: 0.500 0.546 0.072
Y: 0.500 0.371 0.214
Y: 0.000 0.292 0.053
Y: 0.000 0.555 0.341
Y: 0.500 0.046 0.428
Y: 0.500 0.954 0.572
Y: 0.500 0.871 0.286
Y: 0.000 0.445 0.659
Y: 0.000 0.208 0.553
Dy: 0.000 0.645 0.201
Dy: 0.000 0.355 0.799
Dy: 0.000 0.855 0.701
Dy: 0.000 0.500 0.500
Dy: 0.000 0.145 0.299
Dy: 0.000 0.000 0.000
Nd: 0.500 0.179 0.901
Nd: 0.500 0.679 0.599
Nd: 0.500 0.821 0.099
Nd: 0.500 0.321 0.401



[16]
The following is a DFT calculation (PBE) of a relaxed NdDy4Y2 crystal.

- Offset from the most stable computed form: 84 meV per atom
- Magnetic moment: 0.00 μB/f.u.
- Energy of formation from the pure elements: 0.12 eV per atom
- Crystal system: monoclinic

Lattice parameters (Å, degrees): 6.164 6.568 11.690 90.00 107.01 90.00
Atoms (fractional coordinates):
Y: 0.385 0.250 0.993
Y: 0.702 0.750 0.552
Y: 0.615 0.750 0.007
Y: 0.298 0.250 0.448
Nd: 0.817 0.250 0.859
Nd: 0.183 0.750 0.141
Dy: 0.357 0.991 0.711
Dy: 0.137 0.750 0.425
Dy: 0.011 0.250 0.161
Dy: 0.989 0.750 0.839
Dy: 0.863 0.250 0.575
Dy: 0.643 0.491 0.289
Dy: 0.643 0.009 0.289
Dy: 0.357 0.509 0.711



[17]
The following is a DFT calculation (PBE) of a relaxed Nd5Dy3Y4 crystal.

- Magnetic moment: 0.00 μB/f.u.
- Energy of formation from the pure elements: 0.22 eV per atom
- Crystal system: monoclinic

Lattice parameters (Å, degrees): 5.962 8.717 9.714 105.91 72.13 70.00
Atoms (fractional coordinates):
Dy: 0.521 0.688 0.271
Dy: 0.000 0.500 0.500
Dy: 0.479 0.312 0.729
Nd: 0.789 0.537 0.885
Nd: 0.211 0.463 0.115
Nd: 0.500 0.500 0.500
Nd: 0.624 0.953 0.799
Nd: 0.376 0.047 0.201
Y: 0.857 0.223 0.063
Y: 0.837 0.947 0.378
Y: 0.163 0.053 0.622
Y: 0.143 0.777 0.937



[18]
The following is a DFT calculation (PBE) of a relaxed NdDyY2 crystal.

- Offset from the most stable computed form: 3 meV per atom
- Magnetic moment: 0.00 μB/f.u.
- Energy of formation from the pure elements: 0.02 eV per atom
- Crystal system: trigonal

Lattice parameters (Å, degrees): 3.594 3.594 11.863 81.29 81.29 60.00
Atoms (fractional coordinates):
Nd: 0.500 0.500 0.500
Y: 0.251 0.251 0.247
Y: 0.749 0.749 0.753
Dy: 0.000 0.000 0.000



[19]
The following is a DFT calculation (PBE) of a relaxed Nd3Dy5Y4 crystal.

- Offset from the most stable computed form: 209 meV per atom
- Magnetic moment: 0.17 μB/f.u.
- Energy of formation from the pure elements: 0.23 eV per atom
- Crystal system: monoclinic

Lattice parameters (Å, degrees): 5.958 8.557 9.693 105.62 72.10 69.63
Last column: magnetic moment on the atom in μB.
Atoms (fractional coordinates):
Nd: 0.524 0.685 0.267  0.00
Nd: 0.000 0.500 0.500  0.05
Nd: 0.476 0.315 0.733  0.00
Y: 0.169 0.039 0.622  0.00
Y: 0.141 0.778 0.940  0.00
Y: 0.859 0.222 0.060  0.00
Y: 0.831 0.961 0.378  0.00
Dy: 0.214 0.458 0.114  0.00
Dy: 0.500 0.500 0.500  0.07
Dy: 0.623 0.951 0.803  0.00
Dy: 0.377 0.049 0.197  0.00
Dy: 0.786 0.542 0.886  0.00



[20]
The following is a DFT calculation (PBE) of a relaxed Nd6Dy12Y crystal.

- Offset from the most stable computed form: 0 meV per atom
- Magnetic moment: 0.00 μB/f.u.
- Energy of formation from the pure elements: 0.13 eV per atom
- Crystal system: trigonal

Lattice parameters (Å, degrees): 8.705 8.705 8.705 79.62 79.62 79.62
Atoms (fractional coordinates):
Dy: 0.863 0.863 0.514
Dy: 0.137 0.486 0.137
Dy: 0.514 0.514 0.196
Dy: 0.486 0.804 0.486
Dy: 0.514 0.863 0.863
Dy: 0.196 0.514 0.514
Dy: 0.863 0.514 0.863
Dy: 0.486 0.137 0.137
Dy: 0.137 0.137 0.486
Dy: 0.486 0.486 0.804
Dy: 0.514 0.196 0.514
Dy: 0.804 0.486 0.486
Nd: 0.767 0.165 0.767
Nd: 0.767 0.767 0.165
Nd: 0.835 0.233 0.233
Nd: 0.165 0.767 0.767
Nd: 0.233 0.835 0.233
Nd: 0.233 0.233 0.835
Y: 0.000 0.000 0.000